Entry 1:
A relaxed structure of TaReOs2, computed with GGA-PBE.

a b c (Å): 5.607 5.607 11.848
angles (deg): 90.00 90.00 90.00
Space group I-42d (No. 122)
Unique sites:
Ta: 0.000 0.000 0.000
Re: 0.000 0.000 0.500
Os: 0.231 0.250 0.625

Summary:
Final energy, eV/atom: -10.377
Energy relative to the elements, eV/atom: 1.313



Entry 2:
A relaxed structure of TaRe3Os, computed with GGA-PBE.

a b c (Å): 4.646 4.646 4.646
angles (deg): 90.00 90.00 90.00
Space group Pm-3m (No. 221)
Unique sites:
Ta: 0.000 0.000 0.000
Re: 0.000 0.000 0.500
Os: 0.500 0.500 0.500

Summary:
Final energy, eV/atom: -9.340
Offset from the most stable computed form, meV per atom: 688.1
Energy relative to the elements, eV/atom: 2.745



Entry 3:
A relaxed structure of Ta2ReOs, computed with GGA-PBE.

a b c (Å): 6.386 6.386 6.386
angles (deg): 90.00 90.00 90.00
Space group Fm-3m (No. 225)
Unique sites:
Ta: 0.250 0.250 0.250
Re: 0.000 0.000 0.000
Os: 0.000 0.000 0.500

Summary:
Final energy, eV/atom: -12.197
Energy relative to the elements, eV/atom: -0.351



Entry 4:
A relaxed structure of TaReOs2, computed with GGA-PBE.

a b c (Å): 3.955 3.955 3.929
angles (deg): 90.00 90.00 90.00
Space group P4/mmm (No. 123)
Unique sites:
Ta: 0.000 0.000 0.000
Re: 0.500 0.500 0.000
Os: 0.000 0.500 0.500

Summary:
Final energy, eV/atom: -11.777
Energy relative to the elements, eV/atom: -0.087



Entry 5:
A relaxed structure of Ta2ReOs, computed with GGA-PBE.

a b c (Å): 3.189 4.470 9.169
angles (deg): 90.00 90.00 90.00
Space group Imm2 (No. 44)
Unique sites:
Ta: 0.000 0.000 0.000
Ta: 0.000 0.500 0.248
Re: 0.000 0.000 0.507
Os: 0.000 0.500 0.747

Summary:
Final energy, eV/atom: -12.059
Energy relative to the elements, eV/atom: -0.214



Entry 6:
A relaxed structure of TaReOs2, computed with GGA-PBE.

a b c (Å): 3.958 3.958 7.859
angles (deg): 90.00 90.00 90.00
Space group I4/mmm (No. 139)
Unique sites:
Ta: 0.000 0.000 0.000
Re: 0.000 0.000 0.500
Os: 0.000 0.500 0.250

Summary:
Final energy, eV/atom: -11.746
Energy relative to the elements, eV/atom: -0.055



Entry 7:
A relaxed structure of Ta6ReOs5, computed with GGA-PBE.

a b c (Å): 4.580 6.203 7.088
angles (deg): 90.00 104.12 90.00
Space group P2/m (No. 10)
Unique sites:
Ta: 0.000 0.249 0.000
Ta: 0.360 0.249 0.660
Re: 0.500 0.000 0.000
Os: 0.124 0.000 0.319
Os: 0.125 0.500 0.318
Os: 0.500 0.500 0.000

Summary:
Final energy, eV/atom: -11.943
Energy relative to the elements, eV/atom: -0.301



Entry 8:
A relaxed structure of Ta2ReOs, computed with GGA-PBE.

a b c (Å): 6.378 6.378 6.378
angles (deg): 90.00 90.00 90.00
Space group F-43m (No. 216)
Unique sites:
Ta: 0.000 0.000 0.000
Ta: 0.250 0.250 0.250
Re: 0.250 0.250 0.750
Os: 0.000 0.000 0.500

Summary:
Final energy, eV/atom: -11.910
Energy relative to the elements, eV/atom: -0.064



Entry 9:
A relaxed structure of Ta2ReOs, computed with GGA-PBE.

a b c (Å): 5.616 8.836 2.808
angles (deg): 90.00 110.87 90.00
Space group C2/m (No. 12)
Unique sites:
Ta: 0.250 0.250 0.000
Re: 0.000 0.000 0.500
Os: 0.000 0.500 0.500

Summary:
Final energy, eV/atom: -11.968
Energy relative to the elements, eV/atom: -0.122



Entry 10:
A relaxed structure of TaReOs2, computed with GGA-PBE.

a b c (Å): 9.275 2.798 4.828
angles (deg): 90.00 99.73 90.00
Space group Cm (No. 8)
Unique sites:
Ta: 0.000 0.000 0.000
Re: 0.240 0.000 0.723
Os: 0.257 0.500 0.254
Os: 0.496 0.000 0.497

Summary:
Final energy, eV/atom: -11.721
Energy relative to the elements, eV/atom: -0.031



Entry 11:
A relaxed structure of TaReOs2, computed with GGA-PBE.

a b c (Å): 4.610 4.610 2.931
angles (deg): 90.00 90.00 90.00
Space group P4/mmm (No. 123)
Unique sites:
Ta: 0.000 0.000 0.000
Re: 0.500 0.500 0.000
Os: 0.000 0.500 0.500

Summary:
Final energy, eV/atom: -11.504
Energy relative to the elements, eV/atom: 0.186



Entry 12:
A relaxed structure of TaRe2Os, computed with GGA-PBE.

a b c (Å): 3.124 3.124 6.465
angles (deg): 90.00 90.00 90.00
Space group P4mm (No. 99)
Unique sites:
Ta: 0.000 0.000 0.000
Re: 0.000 0.000 0.512
Re: 0.500 0.500 0.743
Os: 0.500 0.500 0.228

Summary:
Final energy, eV/atom: -11.903
Offset from the most stable computed form, meV per atom: 108.4
Energy relative to the elements, eV/atom: 0.091



Entry 13:
A relaxed structure of TaReOs2, computed with GGA-PBE.

a b c (Å): 3.124 4.480 8.903
angles (deg): 90.00 90.00 90.00
Space group Immm (No. 71)
Unique sites:
Ta: 0.000 0.000 0.000
Re: 0.000 0.000 0.500
Os: 0.000 0.500 0.264

Summary:
Final energy, eV/atom: -11.531
Energy relative to the elements, eV/atom: 0.159



Entry 14:
A relaxed structure of Ta4ReOs2, computed with GGA-PBE.

a b c (Å): 6.334 6.334 6.255
angles (deg): 90.00 90.00 90.00
Space group I4/mmm (No. 139)
Unique sites:
Ta: 0.250 0.250 0.250
Re: 0.000 0.000 0.000
Os: 0.000 0.500 0.000

Summary:
Final energy, eV/atom: -11.864
Energy relative to the elements, eV/atom: -0.105



Entry 15:
A relaxed structure of TaReOs2, computed with GGA-PBE.

a b c (Å): 2.809 2.809 7.827
angles (deg): 90.00 90.00 90.00
Space group P4/mmm (No. 123)
Unique sites:
Ta: 0.000 0.000 0.000
Re: 0.000 0.000 0.500
Os: 0.500 0.500 0.266

Summary:
Final energy, eV/atom: -11.739
Energy relative to the elements, eV/atom: -0.049



Entry 16:
A relaxed structure of TaRe2Os, computed with GGA-PBE.

a b c (Å): 4.500 4.500 3.084
angles (deg): 90.00 90.00 90.00
Space group P4/mmm (No. 123)
Unique sites:
Ta: 0.000 0.000 0.000
Re: 0.000 0.500 0.500
Os: 0.500 0.500 0.000

Summary:
Final energy, eV/atom: -11.880
Offset from the most stable computed form, meV per atom: 131.3
Energy relative to the elements, eV/atom: 0.114



Entry 17:
A relaxed structure of Ta2ReOs, computed with GGA-PBE.

a b c (Å): 3.194 4.619 8.828
angles (deg): 90.00 90.00 90.00
Space group Cmmm (No. 65)
Unique sites:
Ta: 0.000 0.000 0.249
Re: 0.000 0.500 0.500
Os: 0.000 0.500 0.000

Summary:
Final energy, eV/atom: -11.968
Energy relative to the elements, eV/atom: -0.122



Entry 18:
A relaxed structure of Ta2ReOs, computed with GGA-PBE.

a b c (Å): 2.809 4.417 5.307
angles (deg): 90.00 98.69 90.00
Space group P2/m (No. 10)
Unique sites:
Ta: 0.244 0.000 0.251
Re: 0.000 0.500 0.500
Os: 0.500 0.500 0.000

Summary:
Final energy, eV/atom: -11.971
Energy relative to the elements, eV/atom: -0.125



Entry 19:
A relaxed structure of TaReOs2, computed with GGA-PBE.

a b c (Å): 3.915 3.915 8.041
angles (deg): 90.00 90.00 90.00
Space group I-4m2 (No. 119)
Unique sites:
Ta: 0.000 0.000 0.000
Re: 0.000 0.500 0.250
Os: 0.000 0.000 0.500
Os: 0.000 0.500 0.750

Summary:
Final energy, eV/atom: -11.718
Energy relative to the elements, eV/atom: -0.028



Entry 20:
A relaxed structure of Ta5Re4Os, computed with GGA-PBE.

a b c (Å): 3.197 3.197 16.002
angles (deg): 90.00 90.00 90.00
Space group P4/mmm (No. 123)
Unique sites:
Ta: 0.000 0.000 0.000
Ta: 0.000 0.000 0.200
Ta: 0.000 0.000 0.398
Re: 0.500 0.500 0.100
Re: 0.500 0.500 0.301
Os: 0.500 0.500 0.500

Summary:
Final energy, eV/atom: -12.425
Energy relative to the elements, eV/atom: -0.396